## Na2FePbF6 (PBE with a Hubbard U)

Data for an optimized crystal structure of Na2FePbF6.

Summary:
SG = P2_1/c
uncorrected energy = -96.94 eV/cell

Unit cell a=5.8165 b=6.0976 c=8.4553 alpha=90.00 beta=89.53 gamma=90.00
With the nearest neighbours (Å) after each atom.
Fractional coordinates of all 20 atoms:
1 Pb 0.5000 0.0000 0.0000  6 F 2.44-2.50
2 Pb 0.0000 0.5000 0.5000  6 F 2.44-2.50
3 F 0.1596 0.2072 0.0932  1 Fe 2.16, 1 Na 2.32
4 F 0.1296 0.4023 0.7716  1 Fe 2.15, 2 Na 2.31-2.34
5 F 0.8054 0.8495 0.5424  1 Fe 2.03
6 F 0.6296 0.0977 0.2716  1 Fe 2.15, 2 Na 2.31-2.34
7 F 0.3054 0.6505 0.0424  1 Fe 2.03
8 F 0.3404 0.7072 0.4068  1 Fe 2.16, 1 Na 2.32
9 F 0.6946 0.3495 0.9576  1 Fe 2.03
10 F 0.3704 0.9023 0.7284  1 Fe 2.15, 2 Na 2.31-2.34
11 F 0.1946 0.1505 0.4576  1 Fe 2.03
12 F 0.8404 0.7928 0.9068  1 Fe 2.16, 1 Na 2.32
13 F 0.6596 0.2928 0.5932  1 Fe 2.16, 1 Na 2.32
14 F 0.8704 0.5977 0.2284  1 Fe 2.15, 2 Na 2.31-2.34
15 Na 0.9987 0.9575 0.2695  4 F 2.29-2.34
16 Na 0.4987 0.5425 0.7695  4 F 2.29-2.34
17 Na 0.5013 0.4575 0.2305  4 F 2.29-2.34
18 Na 0.0013 0.0425 0.7305  4 F 2.29-2.34
19 Fe 0.0000 0.5000 0.0000  6 F 2.03-2.16
20 Fe 0.5000 0.0000 0.5000  6 F 2.03-2.16